i:
Compound: MnTl2In
Source: the Alexandria database
Functional: PBE-GGA
Structure: optimized geometry

Magnetization = 3.76 μB/cell
DOS(E_F) = 2.203 states/eV/cell
Space-group type = No. 160

Lattice parameters (Å, degrees): 10.1785 10.1785 10.1785 19.11 19.11 19.11
With the nearest neighbours (Å) after each atom.
Fractional positions:
Mn: 0.0000 0.0000 0.0000  3 In 2.88, 3 Tl 2.96
Tl: 0.5033 0.5033 0.5033  9 Tl 3.38-3.46, 3 In 3.39
Tl: 0.7411 0.7411 0.7411  3 Mn 2.96
In: 0.2624 0.2624 0.2624  3 Mn 2.88



ii:
Compound: MnTl2In
Source: the Alexandria database
Functional: PBE-GGA
Structure: optimized geometry

Magnetization = 3.94 μB/cell
DOS(E_F) = 2.440 states/eV/cell
Space-group type = No. 65

Lattice parameters (Å, degrees): 3.3041 3.3041 9.1211 90.00 90.00 90.70
With the nearest neighbours (Å) after each atom.
Fractional positions:
Mn: 0.0000 0.0000 0.0000  8 Tl 3.01-3.03, 4 Mn 3.30
Tl: 0.5000 0.5000 0.2092  4 Mn 3.01-3.03, 4 Tl 3.30
Tl: 0.5000 0.5000 0.7908  4 Mn 3.01-3.03, 4 Tl 3.30
In: 0.0000 0.0000 0.5000  4 In 3.30, 8 Tl 3.52-3.54



Last place for stability: ii



i:
Compound: MnTlIn2
Source: the Alexandria database
Functional: PBE-GGA
Structure: optimized geometry

Magnetization = 4.25 μB/cell
DOS(E_F) = 2.020 states/eV/cell
Space-group type = No. 225

Lattice parameters (Å, degrees): 5.2005 5.2005 5.2005 60.00 60.00 60.00
With the nearest neighbours (Å) after each atom.
Fractional positions:
Mn: 0.0000 0.0000 0.0000  8 In 3.18
Tl: 0.5000 0.5000 0.5000  8 In 3.18
In: 0.2500 0.2500 0.2500  4 Tl 3.18, 4 Mn 3.18
In: 0.7500 0.7500 0.7500  4 Mn 3.18, 4 Tl 3.18



ii:
Compound: MnTlIn2
Source: the Alexandria database
Functional: PBE-GGA
Structure: optimized geometry

Magnetization = 3.71 μB/cell
DOS(E_F) = 2.581 states/eV/cell
Space-group type = No. 6

Lattice parameters (Å, degrees): 3.3272 4.2694 7.0637 90.00 102.70 90.00
With the nearest neighbours (Å) after each atom.
Fractional positions:
Mn: 0.0000 0.0000 0.0000  5 In 2.84-2.91, 2 Tl 3.00
Tl: 0.1771 0.5000 0.3046  2 Mn 3.00, 4 In 3.29, 2 Tl 3.33
In: 0.4417 0.5000 0.8710  4 Mn 2.84-2.85
In: 0.8040 0.0000 0.5770  1 Mn 2.91



iii:
Compound: MnTlIn2
Source: the Alexandria database
Functional: PBE-GGA
Structure: optimized geometry

Magnetization = 3.96 μB/cell
DOS(E_F) = 2.489 states/eV/cell
Space-group type = No. 119

Lattice parameters (Å, degrees): 5.6790 5.6790 5.6790 133.68 133.68 67.58
With the nearest neighbours (Å) after each atom.
Fractional positions:
Mn: 0.0000 0.0000 0.0000  8 In 3.16-3.25, 4 Tl 3.25
Tl: 0.2500 0.7500 0.5000  8 In 3.16-3.25, 4 Mn 3.25
In: 0.5000 0.5000 0.0000  4 Mn 3.16, 4 Tl 3.25, 4 In 3.25
In: 0.7500 0.2500 0.5000  4 Tl 3.16, 4 Mn 3.25, 4 In 3.25



iv:
Compound: MnTlIn2
Source: the Alexandria database
Functional: PBE-GGA
Structure: optimized geometry

Magnetization = 3.45 μB/cell
DOS(E_F) = 2.862 states/eV/cell
Space-group type = No. 71

Lattice parameters (Å, degrees): 7.1754 7.1754 7.1754 155.32 140.53 47.11
With the nearest neighbours (Å) after each atom.
Fractional positions:
Mn: 0.0000 0.0000 0.0000  4 Tl 2.87, 4 In 2.92, 2 Mn 3.07
Tl: 0.5000 0.5000 0.0000  4 Mn 2.87, 2 Tl 3.07
In: 0.1888 0.6888 0.5000  2 Mn 2.92, 2 In 3.07
In: 0.8112 0.3112 0.5000  2 Mn 2.92, 2 In 3.07



Last place for stability: i



i:
Compound: MnTlIn
Source: the Alexandria database
Functional: PBE-GGA
Structure: optimized geometry

Magnetization = 3.81 μB/cell
DOS(E_F) = 2.640 states/eV/cell
Space-group type = No. 156

Lattice parameters (Å, degrees): 3.2802 3.2802 7.3410 90.00 90.00 120.00
With the nearest neighbours (Å) after each atom.
Fractional positions:
Mn: 0.0000 0.0000 0.0000  3 In 2.90, 3 Tl 3.00
Tl: 0.6667 0.3333 0.3170  3 Mn 3.00, 6 Tl 3.28
In: 0.3333 0.6667 0.7017  3 Mn 2.90



ii:
Compound: MnTlIn
Source: the Alexandria database
Functional: PBE-GGA
Structure: optimized geometry

Magnetization = 4.02 μB/cell
DOS(E_F) = 1.327 states/eV/cell
Space-group type = No. 156

Lattice parameters (Å, degrees): 4.7446 4.7446 3.6236 90.00 90.00 120.00
With the nearest neighbours (Å) after each atom.
Fractional positions:
Mn: 0.0000 0.0000 0.0000  3 In 2.93, 3 Tl 2.94
Tl: 0.6667 0.3333 0.2963  3 Mn 2.94, 3 In 3.13
In: 0.3333 0.6667 0.7129  3 Mn 2.93, 3 Tl 3.13



iii:
Compound: MnTlIn
Source: the Alexandria database
Functional: PBE-GGA
Structure: optimized geometry

Magnetization = 3.73 μB/cell
DOS(E_F) = 2.178 states/eV/cell
Space-group type = No. 107

Lattice parameters (Å, degrees): 6.5804 6.5804 6.5804 150.80 150.80 41.77
With the nearest neighbours (Å) after each atom.
Fractional positions:
Mn: 0.0000 0.0000 0.0000  4 In 2.88, 4 Tl 3.03
Tl: 0.3440 0.3440 0.0000  4 Mn 3.03, 4 Tl 3.32
In: 0.6362 0.6362 0.0000  4 Mn 2.88



iv:
Compound: MnTlIn
Source: the Alexandria database
Functional: PBE-GGA
Structure: optimized geometry

Magnetization = 3.64 μB/cell
DOS(E_F) = 1.036 states/eV/cell
Space-group type = No. 216

Lattice parameters (Å, degrees): 4.6792 4.6792 4.6792 60.00 60.00 60.00
With the nearest neighbours (Å) after each atom.
Fractional positions:
Mn: 0.0000 0.0000 0.0000  4 Tl 2.87, 4 In 2.87
Tl: 0.7500 0.7500 0.7500  4 Mn 2.87
In: 0.2500 0.2500 0.2500  4 Mn 2.87



Last place for stability: ii



i:
Compound: Mn2TlIn2
Source: the Alexandria database
Functional: PBE-GGA
Structure: optimized geometry

Magnetization = 13.54 μB/cell
DOS(E_F) = 6.483 states/eV/cell
Space-group type = No. 127

Lattice parameters (Å, degrees): 8.2221 8.2221 3.0868 90.00 90.00 90.00
With the nearest neighbours (Å) after each atom.
Fractional positions:
Mn: 0.1160 0.3840 0.0000  1 Mn 2.70, 6 In 2.85-2.91
Mn: 0.3840 0.8840 0.0000  1 Mn 2.70, 6 In 2.85-2.91
Mn: 0.6160 0.1160 0.0000  1 Mn 2.70, 6 In 2.85-2.91
Mn: 0.8840 0.6160 0.0000  1 Mn 2.70, 6 In 2.85-2.91
Tl: 0.0000 0.0000 0.0000  2 Tl 3.09, 4 Mn 3.30, 8 In 3.40
Tl: 0.5000 0.5000 0.0000  2 Tl 3.09, 4 Mn 3.30, 8 In 3.40
In: 0.1777 0.6777 0.5000  6 Mn 2.85-2.91, 2 In 3.09
In: 0.3223 0.1777 0.5000  6 Mn 2.85-2.91, 2 In 3.09
In: 0.6777 0.8223 0.5000  6 Mn 2.85-2.91, 2 In 3.09
In: 0.8223 0.3223 0.5000  6 Mn 2.85-2.91, 2 In 3.09



ii:
Compound: Mn2TlIn2
Source: the Alexandria database
Functional: PBE-GGA
Structure: optimized geometry

Magnetization = 0.00 μB/cell
DOS(E_F) = 3.802 states/eV/cell
Space-group type = No. 139

Lattice parameters (Å, degrees): 10.6137 10.6137 10.6137 162.63 162.63 24.66
With the nearest neighbours (Å) after each atom.
Fractional positions:
Mn: 0.2500 0.7500 0.5000  4 Mn 2.27
Mn: 0.7500 0.2500 0.5000  4 Mn 2.27
Tl: 0.0000 0.0000 0.0000  4 Tl 3.21
In: 0.3627 0.3627 0.0000  4 Mn 2.83
In: 0.6373 0.6373 0.0000  4 Mn 2.83



Last place for stability: ii



i:
Compound: Tm2MnIn
Source: the Alexandria database
Functional: PBE-GGA
Structure: optimized geometry

Magnetization = 3.17 μB/cell
DOS(E_F) = 4.248 states/eV/cell
Space-group type = No. 123

Lattice parameters (Å, degrees): 4.7441 4.7441 4.1810 90.00 90.00 90.00
With the nearest neighbours (Å) after each atom.
Fractional positions:
Tm: 0.0000 0.5000 0.0000  4 In 3.16, 4 Mn 3.16, 4 Tm 3.35
Tm: 0.5000 0.0000 0.0000  4 In 3.16, 4 Mn 3.16, 4 Tm 3.35
Mn: 0.0000 0.0000 0.5000  8 Tm 3.16, 4 In 3.35
In: 0.5000 0.5000 0.5000  8 Tm 3.16, 4 Mn 3.35



ii:
Compound: Tm2MnIn
Source: the Alexandria database
Functional: PBE-GGA
Structure: optimized geometry

Magnetization = 3.06 μB/cell
DOS(E_F) = 3.834 states/eV/cell
Space-group type = No. 123

Lattice parameters (Å, degrees): 3.5665 3.5665 7.4160 90.00 90.00 90.00
With the nearest neighbours (Å) after each atom.
Fractional positions:
Tm: 0.0000 0.0000 0.2275  4 Mn 3.03, 4 In 3.23, 1 Tm 3.37
Tm: 0.0000 0.0000 0.7725  4 Mn 3.03, 4 In 3.23, 1 Tm 3.37
Mn: 0.5000 0.5000 0.0000  8 Tm 3.03
In: 0.5000 0.5000 0.5000  8 Tm 3.23, 4 In 3.57



Last place for stability: i



i:
Compound: Tm2MnIn
Source: the Alexandria database
Functional: PBE-GGA
Structure: optimized geometry

Magnetization = 3.14 μB/cell
DOS(E_F) = 3.764 states/eV/cell
Space-group type = No. 166

Lattice parameters (Å, degrees): 10.9548 10.9548 10.9548 17.66 17.66 17.66
With the nearest neighbours (Å) after each atom.
Fractional positions:
Tm: 0.0981 0.0981 0.0981  3 Mn 2.95, 1 In 3.17
Tm: 0.9019 0.9019 0.9019  3 Mn 2.95, 1 In 3.17
Mn: 0.5000 0.5000 0.5000  6 Tm 2.95
In: 0.0000 0.0000 0.0000  2 Tm 3.17, 6 In 3.36



ii:
Compound: Tm2MnIn
Source: the Alexandria database
Functional: PBE-GGA
Structure: optimized geometry

Magnetization = 3.41 μB/cell
DOS(E_F) = 4.906 states/eV/cell
Space-group type = No. 225

Lattice parameters (Å, degrees): 5.1272 5.1272 5.1272 60.00 60.00 60.00
With the nearest neighbours (Å) after each atom.
Fractional positions:
Tm: 0.2500 0.2500 0.2500  4 In 3.14, 4 Mn 3.14
Tm: 0.7500 0.7500 0.7500  4 In 3.14, 4 Mn 3.14
Mn: 0.0000 0.0000 0.0000  8 Tm 3.14
In: 0.5000 0.5000 0.5000  8 Tm 3.14



Last place for stability: i



i:
Compound: Mn3InW
Source: the Alexandria database
Functional: PBE-GGA
Structure: optimized geometry

Magnetization = 0.00 μB/cell
DOS(E_F) = 9.075 states/eV/cell
Space-group type = No. 221

Lattice parameters (Å, degrees): 4.4722 4.4722 4.4722 90.00 90.00 90.00
With the nearest neighbours (Å) after each atom.
Fractional positions:
Mn: 0.0000 0.0000 0.5000  2 In 2.24
Mn: 0.0000 0.5000 0.0000  2 In 2.24
Mn: 0.5000 0.0000 0.0000  2 In 2.24
In: 0.0000 0.0000 0.0000  6 Mn 2.24
W: 0.5000 0.5000 0.5000  12 Mn 3.16



ii:
Compound: Mn3InW
Source: the Alexandria database
Functional: PBE-GGA
Structure: optimized geometry

Magnetization = 7.41 μB/cell
DOS(E_F) = 7.001 states/eV/cell
Space-group type = No. 221

Lattice parameters (Å, degrees): 4.6426 4.6426 4.6426 90.00 90.00 90.00
With the nearest neighbours (Å) after each atom.
Fractional positions:
Mn: 0.0000 0.0000 0.5000  2 W 2.32
Mn: 0.0000 0.5000 0.0000  2 W 2.32
Mn: 0.5000 0.0000 0.0000  2 W 2.32
In: 0.5000 0.5000 0.5000  12 Mn 3.28
W: 0.0000 0.0000 0.0000  6 Mn 2.32



Last place for stability: i



i:
Compound: YMn2In2
Source: the Alexandria database
Functional: PBE-GGA
Structure: optimized geometry

Magnetization = 12.93 μB/cell
DOS(E_F) = 10.045 states/eV/cell
Space-group type = No. 127

Lattice parameters (Å, degrees): 8.1020 8.1020 3.0903 90.00 90.00 90.00
With the nearest neighbours (Å) after each atom.
Fractional positions:
Y: 0.0000 0.0000 0.0000  2 Y 3.09, 4 Mn 3.24, 8 In 3.37
Y: 0.5000 0.5000 0.0000  2 Y 3.09, 4 Mn 3.24, 8 In 3.37
Mn: 0.1177 0.3823 0.0000  1 Mn 2.70, 6 In 2.84-2.87
Mn: 0.3823 0.8823 0.0000  1 Mn 2.70, 6 In 2.84-2.87
Mn: 0.6177 0.1177 0.0000  1 Mn 2.70, 6 In 2.84-2.87
Mn: 0.8823 0.6177 0.0000  1 Mn 2.70, 6 In 2.84-2.87
In: 0.1747 0.6747 0.5000  6 Mn 2.84-2.87, 2 In 3.09
In: 0.3253 0.1747 0.5000  6 Mn 2.84-2.87, 2 In 3.09
In: 0.6747 0.8253 0.5000  6 Mn 2.84-2.87, 2 In 3.09
In: 0.8253 0.3253 0.5000  6 Mn 2.84-2.87, 2 In 3.09



ii:
Compound: YMn2In2
Source: the Alexandria database
Functional: PBE-GGA
Structure: optimized geometry

Magnetization = 2.69 μB/cell
DOS(E_F) = 5.704 states/eV/cell
Space-group type = No. 139

Lattice parameters (Å, degrees): 6.1071 6.1071 6.1071 137.90 137.90 61.05
With the nearest neighbours (Å) after each atom.
Fractional positions:
Y: 0.0000 0.0000 0.0000  8 Mn 3.25, 8 In 3.42
Mn: 0.4071 0.4071 0.0000  1 Mn 1.95
Mn: 0.5929 0.5929 0.0000  1 Mn 1.95
In: 0.2500 0.7500 0.5000  4 Mn 2.75
In: 0.7500 0.2500 0.5000  4 Mn 2.75



Last place for stability: ii